A plane-wave DFT calculation with SCAN was carried out for BeTcS2N at its PBEsol-relaxed geometry.

Cell: 3.050 4.422 4.422 Å, 90.00 90.00 90.00°
Each line ends with the local moment (μB).
Sites, in units of the cell vectors:
1 Be 0.000 0.000 0.000  0.01
2 S 0.000 0.000 0.500  -0.11
3 S 0.000 0.500 0.000  -0.11
4 Tc 0.500 0.500 0.500  2.25
5 N 0.500 0.000 0.000  -0.24

The calculation puts the density of states at the Fermi level at 2.45 states/eV per cell. As for the raw formation energy: 0.673 eV per atom.

A plane-wave DFT calculation with SCAN was carried out for KMnSi2 at its PBEsol-relaxed geometry.

Cell: 2.924 2.924 7.737 Å, 90.00 90.00 90.00°
Each line ends with the local moment (μB).
Sites, in units of the cell vectors:
1 K 0.500 0.500 0.000  0.01
2 Mn 0.500 0.500 0.500  0.52
3 Si 0.000 0.000 0.664  -0.02
4 Si 0.000 0.000 0.336  -0.02

The calculation puts the density of states at the Fermi level at 2.27 states/eV per cell. The value obtained for the energy above the lowest structure with this stoichiometry is 0.0000 eV per atom. As for the raw formation energy: 0.110 eV per atom.

A plane-wave DFT calculation with SCAN was carried out for NiSbRh at its PBEsol-relaxed geometry.

Cell: 3.081 3.648 4.609 Å, 113.31 109.53 90.00°
Sites, in units of the cell vectors:
1 Ni 0.002 0.002 0.004
2 Rh 0.665 0.665 0.329
3 Sb 0.333 0.333 0.666

The calculation puts the density of states at the Fermi level at 3.28 states/eV per cell. As for the raw formation energy: -0.072 eV per atom.

A plane-wave DFT calculation with SCAN was carried out for B2S3 at its PBEsol-relaxed geometry.

Cell: 4.064 10.756 18.818 Å, 90.00 96.39 90.00°
Sites, in units of the cell vectors:
1 B 0.261 0.311 0.902
2 B 0.427 0.968 0.319
3 B 0.261 0.189 0.402
4 B 0.573 0.468 0.181
5 B 0.573 0.032 0.681
6 B 0.739 0.811 0.598
7 B 0.539 0.779 0.741
8 B 0.461 0.279 0.759
9 B 0.427 0.532 0.819
10 B 0.461 0.221 0.259
11 B 0.944 0.901 0.009
12 B 0.056 0.401 0.491
13 B 0.056 0.099 0.991
14 B 0.944 0.599 0.509
15 B 0.739 0.689 0.098
16 B 0.539 0.721 0.241
17 S 0.675 0.699 0.666
18 S 0.558 0.201 0.678
19 S 0.876 0.764 0.513
20 S 0.675 0.801 0.166
21 S 0.876 0.736 0.013
22 S 0.696 0.522 0.097
23 S 0.124 0.264 0.987
24 S 0.520 0.056 0.243
25 S 0.304 0.478 0.903
26 S 0.520 0.444 0.743
27 S 0.696 0.978 0.597
28 S 0.325 0.301 0.334
29 S 0.442 0.799 0.322
30 S 0.480 0.944 0.757
31 S 0.906 0.030 0.071
32 S 0.094 0.530 0.429
33 S 0.094 0.970 0.929
34 S 0.442 0.701 0.822
35 S 0.906 0.470 0.571
36 S 0.558 0.299 0.178
37 S 0.124 0.236 0.487
38 S 0.304 0.022 0.403
39 S 0.325 0.199 0.834
40 S 0.480 0.556 0.257

The calculation puts the density of states at the Fermi level at 0.00 states/eV per cell. As for the raw formation energy: -0.522 eV per atom.

A plane-wave DFT calculation with SCAN was carried out for LiCr2 at its PBEsol-relaxed geometry.

Cell: 2.247 5.200 6.142 Å, 99.33 90.00 102.48°
Sites, in units of the cell vectors:
1 Cr 0.975 0.950 0.687
2 Cr 0.633 0.265 0.009
3 Cr 0.367 0.735 0.991
4 Cr 0.025 0.050 0.313
5 Li 0.292 0.584 0.348
6 Li 0.708 0.416 0.652

The calculation puts the density of states at the Fermi level at 4.04 states/eV per cell. As for the energy of formation: 518 meV per atom.

A plane-wave DFT calculation with SCAN was carried out for LiSi2Cl at its PBEsol-relaxed geometry.

Cell: 4.515 4.515 4.515 Å, 60.00 60.00 60.00°
Sites, in units of the cell vectors:
1 Si 0.000 0.000 0.000
2 Si 0.750 0.750 0.750
3 Cl 0.500 0.500 0.500
4 Li 0.250 0.250 0.250

The calculation puts the density of states at the Fermi level at 0.49 states/eV per cell. The value obtained for the energy above the lowest structure with this stoichiometry is 0.8037 eV per atom. As for the raw formation energy: 0.190 eV per atom.

A plane-wave DFT calculation with SCAN was carried out for RbAlN2 at its PBEsol-relaxed geometry.

Cell: 3.602 3.602 7.802 Å, 76.65 76.65 60.00°
Each line ends with the local moment (μB).
Sites, in units of the cell vectors:
1 Al 0.000 0.000 0.000  -0.05
2 Rb 0.500 0.500 0.500  0.00
3 N 0.921 0.921 0.236  0.77
4 N 0.079 0.079 0.764  0.77

The calculation puts the density of states at the Fermi level at 1.30 states/eV per cell. As for the raw formation energy: 0.863 eV per atom.

A plane-wave DFT calculation with SCAN was carried out for K3PuH6O8 at its PBEsol-relaxed geometry.

Cell: 7.605 7.752 8.212 Å, 90.00 90.00 118.86°
Each line ends with the local moment (μB).
Sites, in units of the cell vectors:
1 K 0.500 0.500 0.000  0.00
2 K 0.000 0.500 0.500  0.00
3 K 0.453 0.910 0.808  0.00
4 K 0.047 0.090 0.308  0.00
5 K 0.547 0.090 0.192  0.00
6 K 0.953 0.910 0.692  0.00
7 Pu 0.000 0.500 0.000  1.23
8 Pu 0.500 0.500 0.500  1.23
9 H 0.143 0.309 0.780  0.00
10 H 0.357 0.691 0.280  0.00
11 H 0.857 0.691 0.220  0.00
12 H 0.643 0.309 0.720  0.00
13 H 0.180 0.138 0.961  0.00
14 H 0.320 0.862 0.461  0.00
15 H 0.820 0.862 0.039  0.00
16 H 0.680 0.138 0.539  0.00
17 H 0.119 0.924 0.041  0.00
18 H 0.381 0.076 0.541  0.00
19 H 0.881 0.076 0.959  0.00
20 H 0.619 0.924 0.459  0.00
21 O 0.097 0.278 0.896  -0.02
22 O 0.403 0.722 0.396  -0.02
23 O 0.903 0.722 0.104  -0.02
24 O 0.597 0.278 0.604  -0.02
25 O 0.062 0.638 0.804  -0.06
26 O 0.438 0.362 0.304  -0.06
27 O 0.938 0.362 0.196  -0.06
28 O 0.562 0.638 0.696  -0.06
29 O 0.268 0.667 0.075  -0.07
30 O 0.232 0.333 0.575  -0.07
31 O 0.732 0.333 0.925  -0.07
32 O 0.768 0.667 0.425  -0.07
33 O 0.236 0.049 0.000  0.00
34 O 0.264 0.951 0.500  0.00
35 O 0.764 0.951 0.000  0.00
36 O 0.736 0.049 0.500  0.00

The calculation puts the density of states at the Fermi level at 0.00 states/eV per cell. Its raw total energy is -13.15 eV per atom.

A plane-wave DFT calculation with SCAN was carried out for Y2ZrBiC at its PBEsol-relaxed geometry.

Cell: 4.517 4.895 4.895 Å, 90.00 90.00 90.00°
Sites, in units of the cell vectors:
1 Y 0.000 0.000 0.500
2 Y 0.000 0.500 0.000
3 C 0.000 0.000 0.000
4 Bi 0.500 0.500 0.500
5 Zr 0.500 0.000 0.000

The calculation puts the density of states at the Fermi level at 4.25 states/eV per cell. As for the energy of formation: -602 meV per atom.

A plane-wave DFT calculation with SCAN was carried out for CdPdSCl2 at its PBEsol-relaxed geometry.

Cell: 4.960 4.960 5.018 Å, 90.00 90.00 90.00°
Each line ends with the local moment (μB).
Sites, in units of the cell vectors:
1 S 0.000 0.000 0.500  0.52
2 Cl 0.000 0.500 0.000  0.07
3 Cl 0.500 0.000 0.000  0.07
4 Pd 0.500 0.500 0.500  0.88
5 Cd 0.000 0.000 0.000  0.01

The calculation puts the density of states at the Fermi level at 2.73 states/eV per cell. As for the raw formation energy: 0.187 eV per atom.

A plane-wave DFT calculation with SCAN was carried out for TaTc2Pt at its PBEsol-relaxed geometry.

Cell: 3.929 3.929 4.766 Å, 114.34 114.34 90.00°
Sites, in units of the cell vectors:
1 Pt 0.000 0.000 0.000
2 Ta 0.250 0.750 0.500
3 Tc 0.500 0.500 0.000
4 Tc 0.750 0.250 0.500

The calculation puts the density of states at the Fermi level at 3.29 states/eV per cell. The value obtained for the energy above the lowest structure with this stoichiometry is 0.0000 eV per atom. As for the energy of formation: -411 meV per atom.

A plane-wave DFT calculation with SCAN was carried out for TcMo2W at its PBEsol-relaxed geometry.

Cell: 2.709 4.386 5.161 Å, 90.00 100.16 90.00°
Sites, in units of the cell vectors:
1 Mo 0.000 0.000 0.002
2 Mo 0.758 0.500 0.249
3 Tc 0.497 0.000 0.501
4 W 0.245 0.500 0.748

The calculation puts the density of states at the Fermi level at 3.02 states/eV per cell. The value obtained for the energy above the lowest structure with this stoichiometry is 0.0261 eV per atom. As for the energy of formation: 30 meV per atom.

For each record above, in turn, the calculated total magnetic moment values are 1.78 0.54 0.00 0.00 0.00 0.00 2.00 0.92 0.00 1.86 0.00 0.00 μB/f.u..